The following is a DFT calculation (PBE) of a geometry-optimized ZnCd2Au6 structure.

Structure (POSCAR):
```
ZnCd2Au6
1.0
2.982 0.000 0.000
0.000 6.901 -3.985
0.000 0.000 7.969
Au Zn Cd
6 1 2
direct
0.500 0.287 0.287
0.000 0.000 0.358
0.500 0.713 0.000
0.500 0.000 0.713
0.000 0.642 0.642
0.000 0.358 0.000
0.000 0.000 0.000
0.500 0.333 0.667
0.500 0.667 0.333
```

Output
* size of the total moment: 0.000 Bohr magnetons per cell
* DOS(E_F): 2.78 states/eV/cell
* DFT total energy: -2.653 eV/atom
* formation enthalpy at 0 K: -107 kJ/mol of formula units
* space-group type: No. 189

The following is a DFT calculation (PBE) of a geometry-optimized ZnCd10Au4 structure.

Structure (POSCAR):
```
ZnCd10Au4
1.0
4.675 0.000 0.574
2.302 4.069 0.574
0.086 0.050 18.607
Cd Au Zn
10 4 1
direct
0.050 0.050 0.850
0.348 0.348 0.956
0.748 0.748 0.755
0.851 0.851 0.446
0.652 0.652 0.044
0.950 0.950 0.150
0.549 0.549 0.352
0.451 0.451 0.648
0.252 0.252 0.245
0.149 0.149 0.554
0.200 0.200 0.400
0.399 0.399 0.802
0.800 0.800 0.600
0.601 0.601 0.198
0.000 0.000 0.000
```

Output
* size of the total moment: 0.000 Bohr magnetons per cell
* DOS(E_F): 5.77 states/eV/cell
* DFT total energy: -1.685 eV/atom
* formation enthalpy at 0 K: -169 kJ/mol of formula units
* space-group type: No. 166